# Co2SiGePt2 PBE-GGA relaxed
data_Co2SiGePt2
_chemical_formula_sum 'Co2 Si1 Ge1 Pt2'
_cell_length_a 3.622
_cell_length_b 3.622
_cell_length_c 6.108
_cell_angle_alpha 90.00
_cell_angle_beta 90.00
_cell_angle_gamma 90.00
_symmetry_space_group_name_H-M 'P 1'
_symmetry_Int_Tables_number 1
loop_
_symmetry_equiv_pos_as_xyz
'x,y,z'
loop_
_atom_site_label
_atom_site_type_symbol
_atom_site_fract_x
_atom_site_fract_y
_atom_site_fract_z
Pt1 Pt 0.000 0.000 0.646
Pt2 Pt 0.500 0.500 0.373
Ge1 Ge 0.000 0.000 0.239
Co1 Co 0.000 0.500 0.991
Co2 Co 0.500 0.000 0.991
Si1 Si 0.500 0.500 0.762
# **Uncorrected energy**: -38.73 eV per formula unit


# Sm2CoGe4Pt PBE-GGA relaxed
data_Sm2CoGe4Pt
_chemical_formula_sum 'Sm2 Co1 Ge4 Pt1'
_cell_length_a 4.344
_cell_length_b 8.711
_cell_length_c 8.711
_cell_angle_alpha 28.26
_cell_angle_beta 90.00
_cell_angle_gamma 90.00
_symmetry_space_group_name_H-M 'P 1'
_symmetry_Int_Tables_number 1
loop_
_symmetry_equiv_pos_as_xyz
'x,y,z'
loop_
_atom_site_label
_atom_site_type_symbol
_atom_site_fract_x
_atom_site_fract_y
_atom_site_fract_z
Sm1 Sm 0.000 0.893 0.893
Sm2 Sm 0.500 0.108 0.108
Pt1 Pt 0.500 0.322 0.322
Co1 Co 0.000 0.682 0.682
Ge1 Ge 0.500 0.466 0.466
Ge2 Ge 0.000 0.546 0.546
Ge3 Ge 0.000 0.243 0.243
Ge4 Ge 0.500 0.741 0.741
# **Uncorrected energy**: -47.18 eV per formula unit


# CoTcGePt PBE-GGA relaxed
data_CoTcGePt
_chemical_formula_sum 'Co1 Tc1 Ge1 Pt1'
_cell_length_a 4.297
_cell_length_b 4.297
_cell_length_c 4.297
_cell_angle_alpha 60.00
_cell_angle_beta 60.00
_cell_angle_gamma 60.00
_symmetry_space_group_name_H-M 'P 1'
_symmetry_Int_Tables_number 1
loop_
_symmetry_equiv_pos_as_xyz
'x,y,z'
loop_
_atom_site_label
_atom_site_type_symbol
_atom_site_fract_x
_atom_site_fract_y
_atom_site_fract_z
Co1 Co 0.750 0.750 0.750
Tc1 Tc 0.250 0.250 0.250
Pt1 Pt 0.500 0.500 0.500
Ge1 Ge 0.000 0.000 0.000
# **Offset from the most stable computed form**: 0.0 meV per atom


# CoGePtW PBE-GGA relaxed
data_CoGePtW
_chemical_formula_sum 'Co1 Ge1 Pt1 W1'
_cell_length_a 4.359
_cell_length_b 4.359
_cell_length_c 4.359
_cell_angle_alpha 60.00
_cell_angle_beta 60.00
_cell_angle_gamma 60.00
_symmetry_space_group_name_H-M 'P 1'
_symmetry_Int_Tables_number 1
loop_
_symmetry_equiv_pos_as_xyz
'x,y,z'
loop_
_atom_site_label
_atom_site_type_symbol
_atom_site_fract_x
_atom_site_fract_y
_atom_site_fract_z
Ge1 Ge 0.000 0.000 0.000
Pt1 Pt 0.250 0.250 0.250
W1 W 0.500 0.500 0.500
Co1 Co 0.750 0.750 0.750
# **Offset from the most stable computed form**: 215.4 meV per atom


# CoGePtW PBE-GGA relaxed
data_CoGePtW
_chemical_formula_sum 'Co1 Ge1 Pt1 W1'
_cell_length_a 4.331
_cell_length_b 4.331
_cell_length_c 4.331
_cell_angle_alpha 60.00
_cell_angle_beta 60.00
_cell_angle_gamma 60.00
_symmetry_space_group_name_H-M 'P 1'
_symmetry_Int_Tables_number 1
loop_
_symmetry_equiv_pos_as_xyz
'x,y,z'
loop_
_atom_site_label
_atom_site_type_symbol
_atom_site_fract_x
_atom_site_fract_y
_atom_site_fract_z
W1 W 0.250 0.250 0.250
Pt1 Pt 0.500 0.500 0.500
Co1 Co 0.750 0.750 0.750
Ge1 Ge 0.000 0.000 0.000
# **Offset from the most stable computed form**: 0.0 meV per atom


# YCoGePt PBE-GGA relaxed
data_YCoGePt
_chemical_formula_sum 'Y1 Co1 Ge1 Pt1'
_cell_length_a 4.656
_cell_length_b 4.656
_cell_length_c 4.656
_cell_angle_alpha 60.00
_cell_angle_beta 60.00
_cell_angle_gamma 60.00
_symmetry_space_group_name_H-M 'P 1'
_symmetry_Int_Tables_number 1
loop_
_symmetry_equiv_pos_as_xyz
'x,y,z'
loop_
_atom_site_label
_atom_site_type_symbol
_atom_site_fract_x
_atom_site_fract_y
_atom_site_fract_z
Y1 Y 0.250 0.250 0.250
Ge1 Ge 0.000 0.000 0.000
Pt1 Pt 0.500 0.500 0.500
Co1 Co 0.750 0.750 0.750
# **Offset from the most stable computed form**: 100.4 meV per atom


# YCoGePt PBE-GGA relaxed
data_YCoGePt
_chemical_formula_sum 'Y1 Co1 Ge1 Pt1'
_cell_length_a 4.601
_cell_length_b 4.601
_cell_length_c 4.601
_cell_angle_alpha 60.00
_cell_angle_beta 60.00
_cell_angle_gamma 60.00
_symmetry_space_group_name_H-M 'P 1'
_symmetry_Int_Tables_number 1
loop_
_symmetry_equiv_pos_as_xyz
'x,y,z'
loop_
_atom_site_label
_atom_site_type_symbol
_atom_site_fract_x
_atom_site_fract_y
_atom_site_fract_z
Ge1 Ge 0.000 0.000 0.000
Pt1 Pt 0.250 0.250 0.250
Y1 Y 0.500 0.500 0.500
Co1 Co 0.750 0.750 0.750
# **Offset from the most stable computed form**: 0.0 meV per atom


# ZnCoGePt PBE-GGA relaxed
data_ZnCoGePt
_chemical_formula_sum 'Zn1 Co1 Ge1 Pt1'
_cell_length_a 4.318
_cell_length_b 4.318
_cell_length_c 4.318
_cell_angle_alpha 60.00
_cell_angle_beta 60.00
_cell_angle_gamma 60.00
_symmetry_space_group_name_H-M 'P 1'
_symmetry_Int_Tables_number 1
loop_
_symmetry_equiv_pos_as_xyz
'x,y,z'
loop_
_atom_site_label
_atom_site_type_symbol
_atom_site_fract_x
_atom_site_fract_y
_atom_site_fract_z
Co1 Co 0.750 0.750 0.750
Ge1 Ge 0.000 0.000 0.000
Zn1 Zn 0.250 0.250 0.250
Pt1 Pt 0.500 0.500 0.500
# **Offset from the most stable computed form**: 194.7 meV per atom


# ZnCoGePt PBE-GGA relaxed
data_ZnCoGePt
_chemical_formula_sum 'Zn1 Co1 Ge1 Pt1'
_cell_length_a 4.281
_cell_length_b 4.281
_cell_length_c 4.281
_cell_angle_alpha 60.00
_cell_angle_beta 60.00
_cell_angle_gamma 60.00
_symmetry_space_group_name_H-M 'P 1'
_symmetry_Int_Tables_number 1
loop_
_symmetry_equiv_pos_as_xyz
'x,y,z'
loop_
_atom_site_label
_atom_site_type_symbol
_atom_site_fract_x
_atom_site_fract_y
_atom_site_fract_z
Zn1 Zn 0.500 0.500 0.500
Ge1 Ge 0.000 0.000 0.000
Pt1 Pt 0.250 0.250 0.250
Co1 Co 0.750 0.750 0.750
# **Offset from the most stable computed form**: 0.0 meV per atom


# ZrCoGePt PBE-GGA relaxed
data_ZrCoGePt
_chemical_formula_sum 'Zr1 Co1 Ge1 Pt1'
_cell_length_a 4.505
_cell_length_b 4.505
_cell_length_c 4.505
_cell_angle_alpha 60.00
_cell_angle_beta 60.00
_cell_angle_gamma 60.00
_symmetry_space_group_name_H-M 'P 1'
_symmetry_Int_Tables_number 1
loop_
_symmetry_equiv_pos_as_xyz
'x,y,z'
loop_
_atom_site_label
_atom_site_type_symbol
_atom_site_fract_x
_atom_site_fract_y
_atom_site_fract_z
Pt1 Pt 0.500 0.500 0.500
Ge1 Ge 0.000 0.000 0.000
Zr1 Zr 0.250 0.250 0.250
Co1 Co 0.750 0.750 0.750
# **Offset from the most stable computed form**: 75.4 meV per atom


# ZrCoGePt PBE-GGA relaxed
data_ZrCoGePt
_chemical_formula_sum 'Zr1 Co1 Ge1 Pt1'
_cell_length_a 4.488
_cell_length_b 4.488
_cell_length_c 4.488
_cell_angle_alpha 60.00
_cell_angle_beta 60.00
_cell_angle_gamma 60.00
_symmetry_space_group_name_H-M 'P 1'
_symmetry_Int_Tables_number 1
loop_
_symmetry_equiv_pos_as_xyz
'x,y,z'
loop_
_atom_site_label
_atom_site_type_symbol
_atom_site_fract_x
_atom_site_fract_y
_atom_site_fract_z
Pt1 Pt 0.250 0.250 0.250
Zr1 Zr 0.500 0.500 0.500
Co1 Co 0.750 0.750 0.750
Ge1 Ge 0.000 0.000 0.000
# **Offset from the most stable computed form**: 0.0 meV per atom


# RbCoGe PBE-GGA relaxed
data_RbCoGe
_chemical_formula_sum 'Rb1 Co1 Ge1'
_cell_length_a 5.300
_cell_length_b 5.300
_cell_length_c 5.300
_cell_angle_alpha 60.00
_cell_angle_beta 60.00
_cell_angle_gamma 60.00
_symmetry_space_group_name_H-M 'P 1'
_symmetry_Int_Tables_number 1
loop_
_symmetry_equiv_pos_as_xyz
'x,y,z'
loop_
_atom_site_label
_atom_site_type_symbol
_atom_site_fract_x
_atom_site_fract_y
_atom_site_fract_z
Ge1 Ge 0.750 0.750 0.750
Co1 Co 0.250 0.250 0.250
Rb1 Rb 0.000 0.000 0.000
# **Offset from the most stable computed form**: 813.0 meV per atom


# RbCoGe PBE-GGA relaxed
data_RbCoGe
_chemical_formula_sum 'Rb1 Co1 Ge1'
_cell_length_a 4.947
_cell_length_b 4.947
_cell_length_c 4.947
_cell_angle_alpha 60.00
_cell_angle_beta 60.00
_cell_angle_gamma 60.00
_symmetry_space_group_name_H-M 'P 1'
_symmetry_Int_Tables_number 1
loop_
_symmetry_equiv_pos_as_xyz
'x,y,z'
loop_
_atom_site_label
_atom_site_type_symbol
_atom_site_fract_x
_atom_site_fract_y
_atom_site_fract_z
Ge1 Ge 0.000 0.000 0.000
Co1 Co 0.250 0.250 0.250
Rb1 Rb 0.750 0.750 0.750
# **Offset from the most stable computed form**: 158.2 meV per atom


# RbCoGe PBE-GGA relaxed
data_RbCoGe
_chemical_formula_sum 'Rb1 Co1 Ge1'
_cell_length_a 4.654
_cell_length_b 4.654
_cell_length_c 4.654
_cell_angle_alpha 60.00
_cell_angle_beta 60.00
_cell_angle_gamma 60.00
_symmetry_space_group_name_H-M 'P 1'
_symmetry_Int_Tables_number 1
loop_
_symmetry_equiv_pos_as_xyz
'x,y,z'
loop_
_atom_site_label
_atom_site_type_symbol
_atom_site_fract_x
_atom_site_fract_y
_atom_site_fract_z
Co1 Co 0.000 0.000 0.000
Ge1 Ge 0.250 0.250 0.250
Rb1 Rb 0.750 0.750 0.750
# **Offset from the most stable computed form**: 0.0 meV per atom


# CoReGe PBE-GGA relaxed
data_CoReGe
_chemical_formula_sum 'Co1 Re1 Ge1'
_cell_length_a 3.965
_cell_length_b 3.965
_cell_length_c 3.965
_cell_angle_alpha 60.00
_cell_angle_beta 60.00
_cell_angle_gamma 60.00
_symmetry_space_group_name_H-M 'P 1'
_symmetry_Int_Tables_number 1
loop_
_symmetry_equiv_pos_as_xyz
'x,y,z'
loop_
_atom_site_label
_atom_site_type_symbol
_atom_site_fract_x
_atom_site_fract_y
_atom_site_fract_z
Ge1 Ge 0.250 0.250 0.250
Re1 Re 0.750 0.750 0.750
Co1 Co 0.000 0.000 0.000
# **Offset from the most stable computed form**: 0.0 meV per atom


# CoReGe2 PBE-GGA relaxed
data_CoReGe2
_chemical_formula_sum 'Co1 Re1 Ge2'
_cell_length_a 4.324
_cell_length_b 4.324
_cell_length_c 4.324
_cell_angle_alpha 60.00
_cell_angle_beta 60.00
_cell_angle_gamma 60.00
_symmetry_space_group_name_H-M 'P 1'
_symmetry_Int_Tables_number 1
loop_
_symmetry_equiv_pos_as_xyz
'x,y,z'
loop_
_atom_site_label
_atom_site_type_symbol
_atom_site_fract_x
_atom_site_fract_y
_atom_site_fract_z
Co1 Co 0.250 0.250 0.250
Ge1 Ge 0.000 0.000 0.000
Ge2 Ge 0.750 0.750 0.750
Re1 Re 0.500 0.500 0.500
# **Uncorrected energy**: -26.66 eV per formula unit


# ScCoReGe PBE-GGA relaxed
data_ScCoReGe
_chemical_formula_sum 'Sc1 Co1 Re1 Ge1'
_cell_length_a 4.349
_cell_length_b 4.349
_cell_length_c 4.349
_cell_angle_alpha 60.00
_cell_angle_beta 60.00
_cell_angle_gamma 60.00
_symmetry_space_group_name_H-M 'P 1'
_symmetry_Int_Tables_number 1
loop_
_symmetry_equiv_pos_as_xyz
'x,y,z'
loop_
_atom_site_label
_atom_site_type_symbol
_atom_site_fract_x
_atom_site_fract_y
_atom_site_fract_z
Sc1 Sc 0.500 0.500 0.500
Co1 Co 0.750 0.750 0.750
Ge1 Ge 0.000 0.000 0.000
Re1 Re 0.250 0.250 0.250
# **Offset from the most stable computed form**: 0.0 meV per atom


# TaCoReGe PBE-GGA relaxed
data_TaCoReGe
_chemical_formula_sum 'Ta1 Co1 Re1 Ge1'
_cell_length_a 4.349
_cell_length_b 4.349
_cell_length_c 4.349
_cell_angle_alpha 60.00
_cell_angle_beta 60.00
_cell_angle_gamma 60.00
_symmetry_space_group_name_H-M 'P 1'
_symmetry_Int_Tables_number 1
loop_
_symmetry_equiv_pos_as_xyz
'x,y,z'
loop_
_atom_site_label
_atom_site_type_symbol
_atom_site_fract_x
_atom_site_fract_y
_atom_site_fract_z
Re1 Re 0.250 0.250 0.250
Ta1 Ta 0.500 0.500 0.500
Co1 Co 0.750 0.750 0.750
Ge1 Ge 0.000 0.000 0.000
# **Offset from the most stable computed form**: 0.0 meV per atom


# CoReTcGe PBE-GGA relaxed
data_CoReTcGe
_chemical_formula_sum 'Co1 Re1 Tc1 Ge1'
_cell_length_a 4.269
_cell_length_b 4.269
_cell_length_c 4.269
_cell_angle_alpha 60.00
_cell_angle_beta 60.00
_cell_angle_gamma 60.00
_symmetry_space_group_name_H-M 'P 1'
_symmetry_Int_Tables_number 1
loop_
_symmetry_equiv_pos_as_xyz
'x,y,z'
loop_
_atom_site_label
_atom_site_type_symbol
_atom_site_fract_x
_atom_site_fract_y
_atom_site_fract_z
Re1 Re 0.500 0.500 0.500
Tc1 Tc 0.250 0.250 0.250
Co1 Co 0.750 0.750 0.750
Ge1 Ge 0.000 0.000 0.000
# **Offset from the most stable computed form**: 0.0 meV per atom


# CoReGeW PBE-GGA relaxed
data_CoReGeW
_chemical_formula_sum 'Co1 Re1 Ge1 W1'
_cell_length_a 4.312
_cell_length_b 4.312
_cell_length_c 4.312
_cell_angle_alpha 60.00
_cell_angle_beta 60.00
_cell_angle_gamma 60.00
_symmetry_space_group_name_H-M 'P 1'
_symmetry_Int_Tables_number 1
loop_
_symmetry_equiv_pos_as_xyz
'x,y,z'
loop_
_atom_site_label
_atom_site_type_symbol
_atom_site_fract_x
_atom_site_fract_y
_atom_site_fract_z
Ge1 Ge 0.000 0.000 0.000
Re1 Re 0.250 0.250 0.250
Co1 Co 0.750 0.750 0.750
W1 W 0.500 0.500 0.500
# **Offset from the most stable computed form**: 0.0 meV per atom